# Rb2AgAu2

A relaxed structure of Rb2AgAu2 (PBE, the Alexandria database).

The structure in POSCAR format:
```
Rb2AgAu2
1.0
-2.879 0.043 6.063
-4.744 -4.197 -2.223
-1.521 -5.254 3.030
Rb Au Ag
2 2 1
Cartesian
-5.038 -5.764 1.363
-4.106 -3.644 5.507
-6.092 -6.278 4.582
-3.052 -3.130 2.288
0.000 0.000 0.000
```

**Energy relative to the lowest polymorph listed for this composition**: 88.1 meV per atom
**Theoretical density**: 6.090 Mg/m³
**E_form**: -0.12 eV per atom
**Volume**: 183.44 Å³/cell
**SG**: I4/mmm (139)
**Total magnetization**: 0.00 μB/cell
**Fermi-level density of states**: 1.387 states/eV/f.u.

---

# MnW2Cl

A relaxed structure of MnW2Cl (PBE, the Alexandria database).

The structure in POSCAR format:
```
MnW2Cl
1.0
-1.135 2.301 3.970
1.364 -2.823 2.026
3.357 1.632 0.014
Mn W Cl
1 2 1
Cartesian
1.111 1.966 1.992
0.000 0.000 0.000
2.360 -0.595 1.020
0.114 -0.261 2.998
```

**Energy relative to the lowest polymorph listed for this composition**: 820.6 meV per atom
**E_form (uncorrected)**: 1130 meV per atom
**Theoretical density**: 11.550 Mg/m³
**Volume**: 65.86 Å³/cell
**SG**: P4/mmm (123)
**Total magnetization**: 3.47 μB/cell
**Fermi-level density of states**: 2.015 states/eV/f.u.

---

# LiCdCl2

A relaxed structure of LiCdCl2 (PBE, the Alexandria database).

The structure in POSCAR format:
```
LiCdCl2
1.0
5.044 0.000 0.000
2.522 4.368 0.000
2.522 1.456 4.118
Cl Li Cd
2 1 1
Cartesian
2.522 1.456 1.030
0.000 0.000 0.000
7.566 4.368 3.089
5.044 2.912 2.059
```

**Energy relative to the lowest polymorph listed for this composition**: 577.3 meV per atom
**E_form (uncorrected)**: -483 meV per atom
**Theoretical density**: 3.482 Mg/m³
**Volume**: 90.73 Å³/cell
**SG**: F-43m (216)
**Total magnetization**: 0.64 μB/cell
**Fermi-level density of states**: 3.390 states/eV/f.u.

---

# MoPS3

A relaxed structure of MoPS3 (PBE, the Alexandria database).

The structure in POSCAR format:
```
MoPS3
1.0
-1.852 0.801 -3.979
-3.973 -1.255 1.597
-0.833 4.206 1.234
S P Mo
3 1 1
Cartesian
-0.417 2.103 0.617
-1.986 -0.628 0.798
-0.926 0.400 -1.990
0.000 0.000 0.000
-3.329 1.876 -0.574
```

**Energy relative to the lowest polymorph listed for this composition**: 1005.3 meV per atom
**E_form (uncorrected)**: 781 meV per atom
**Theoretical density**: 4.171 Mg/m³
**Volume**: 88.82 Å³/cell
**SG**: Pm-3m (221)
**Total magnetization**: 3.06 μB/cell
**Fermi-level density of states**: 2.677 states/eV/f.u.

---

# Cs3AcY2S6

A relaxed structure of Cs3AcY2S6 (PBE, the Alexandria database).

The structure in POSCAR format:
```
Cs3AcY2S6
1.0
7.342 0.000 0.000
-3.670 6.360 0.000
-1.225 -2.121 8.089
Y S Cs Ac
2 6 3 1
Cartesian
0.000 4.240 0.000
3.673 2.119 0.000
-0.141 4.238 6.592
-1.293 2.242 1.497
3.741 1.996 6.592
2.588 0.000 1.497
0.069 0.119 6.600
2.379 4.118 1.489
-2.468 4.251 4.044
1.224 2.119 4.044
4.915 -0.013 4.044
0.000 0.000 0.000
```

**E_form (uncorrected)**: -1838 meV per atom
**Theoretical density**: 4.379 Mg/m³
**Volume**: 377.69 Å³/cell
**SG**: C2/m (12)
**Total magnetization**: 0.00 μB/cell
**Fermi-level density of states**: 0.000 states/eV/f.u.

---

# CuBiTe2O8

A relaxed structure of CuBiTe2O8 (PBE, the Alexandria database).

The structure in POSCAR format:
```
CuBiTe2O8
1.0
6.198 0.155 0.000
-2.610 5.624 0.000
-1.794 -2.889 5.184
O Te Bi Cu
8 2 1 1
Cartesian
-0.210 1.586 4.169
0.210 -1.586 4.169
4.573 0.597 1.614
1.625 -0.443 1.614
0.280 2.374 1.015
3.308 3.404 1.015
3.287 -1.474 3.570
2.911 1.629 3.570
3.099 0.077 2.592
1.794 2.889 0.000
0.000 0.000 0.000
-1.305 2.812 2.592
```

**E_form (uncorrected)**: -717 meV per atom
**Theoretical density**: 5.957 Mg/m³
**Volume**: 182.80 Å³/cell
**SG**: I-4m2 (119)
**Total magnetization**: 0.11 μB/cell

---

# CrRhCl2

A relaxed structure of CrRhCl2 (PBE, the Alexandria database).

The structure in POSCAR format:
```
CrRhCl2
1.0
-1.251 3.777 -2.815
-3.944 2.366 -1.614
-0.294 4.226 4.307
Cr Cl Rh
1 2 1
Cartesian
-2.487 4.393 -0.415
-0.266 0.678 0.199
-4.467 7.680 -0.992
-1.013 2.804 1.024
```

**Energy relative to the lowest polymorph listed for this composition**: 115.0 meV per atom
**E_form (uncorrected)**: -108 meV per atom
**Theoretical density**: 4.182 Mg/m³
**Volume**: 89.66 Å³/cell
**SG**: Cm (8)
**Total magnetization**: 2.99 μB/cell
**Fermi-level density of states**: 2.151 states/eV/f.u.

---

# KSr2Pd9

A relaxed structure of KSr2Pd9 (PBE, the Alexandria database).

The structure in POSCAR format:
```
KSr2Pd9
1.0
5.341 0.000 1.589
2.434 4.754 1.589
0.090 0.055 9.464
Pd K Sr
9 1 2
Cartesian
3.389 0.426 8.147
5.940 1.987 4.496
2.587 1.582 1.076
4.476 4.382 4.496
5.278 3.227 11.567
3.249 1.987 3.695
1.924 2.822 8.147
4.615 2.822 8.948
3.932 2.404 6.322
0.000 0.000 0.000
6.743 4.123 6.645
1.122 0.686 5.999
```

**Theoretical density**: 8.132 Mg/m³
**E_form**: -0.33 eV per atom
**Volume**: 239.34 Å³/cell
**SG**: R-3m (166)
**Total magnetization**: 0.00 μB/cell
**Fermi-level density of states**: 9.888 states/eV/f.u.

---

| no. | E (eV/atom) |
| --- | --- |
| 1 | -2.39 |
| 2 | -8.10 |
| 3 | -2.11 |
| 4 | -4.94 |
| 5 | -5.53 |
| 6 | -5.21 |
| 7 | -5.28 |
| 8 | -4.60 |